VASP calculation (PBE-GGA) on an optimized crystal structure of BaMg2Zn.

Results
- ρ: 3719 kg/m³
- Density of states at the Fermi level: 3.130 states/eV/f.u.
- Spin magnetization: 0.0 μB per formula unit
- Energy of formation from the pure elements: -0.14 eV/f.u.

a b c (Å): 5.392 5.408 7.698
angles (deg): 90.00 90.00 90.00
Space group Imm2 (No. 44)
One atom of each set of equivalent atoms:
Ba 0.000 0.000 0.000
Mg 0.000 0.000 0.501
Mg 0.000 0.500 0.751
Zn 0.000 0.500 0.249

---

VASP calculation (PBE-GGA) on an optimized crystal structure of Ho2Ga8Co.

Results
- ρ: 7935 kg/m³
- Density of states at the Fermi level: 4.314 states/eV/f.u.
- Spin magnetization: 0.0 μB per formula unit
- Energy of formation from the pure elements: -5.33 eV/f.u.

a b c (Å): 4.227 4.227 11.086
angles (deg): 90.00 90.00 90.00
Space group P4/mmm (No. 123)
One atom of each set of equivalent atoms:
Ho 0.000 0.000 0.195
Ga 0.000 0.500 0.000
Ga 0.000 0.500 0.384
Ga 0.500 0.500 0.194
Co 0.000 0.000 0.500

---

VASP calculation (PBE-GGA) on an optimized crystal structure of KAl2Co.

Results
- E above lowest polymorph: 320 meV per atom
- ρ: 2969 kg/m³
- Density of states at the Fermi level: 1.919 states/eV/f.u.
- Spin magnetization: 0.5 μB per formula unit
- Energy of formation from the pure elements: 1.38 eV/f.u.

a b c (Å): 2.738 5.735 10.826
angles (deg): 90.00 90.00 90.00
Space group Immm (No. 71)
One atom of each set of equivalent atoms:
K 0.000 0.000 0.000
Al 0.000 0.500 0.182
Co 0.000 0.000 0.500

---

VASP calculation (PBE-GGA) on an optimized crystal structure of CoTcHg3.

Results
- E above lowest polymorph: 0 meV per atom
- ρ: 10516 kg/m³
- Density of states at the Fermi level: 5.283 states/eV/f.u.
- Spin magnetization: 5.3 μB per formula unit
- Energy of formation from the pure elements: 5.71 eV/f.u.

a b c (Å): 4.930 4.930 4.930
angles (deg): 90.00 90.00 90.00
Space group Pm-3m (No. 221)
One atom of each set of equivalent atoms:
Co 0.000 0.000 0.000
Tc 0.500 0.500 0.500
Hg 0.000 0.000 0.500

---

VASP calculation (PBE-GGA) on an optimized crystal structure of SbRuCl3.

Results
- ρ: 3525 kg/m³
- ΔE_f (raw): 0.667 eV/atom
- Density of states at the Fermi level: 23.068 states/eV/f.u.
- Spin magnetization: 3.0 μB per formula unit

a b c (Å): 5.373 5.373 5.373
angles (deg): 90.00 90.00 90.00
Space group Pm-3m (No. 221)
One atom of each set of equivalent atoms:
Sb 0.000 0.000 0.000
Ru 0.500 0.500 0.500
Cl 0.000 0.000 0.500

---

VASP calculation (PBE-GGA) on an optimized crystal structure of Tb8NdCd6.

Results
- ρ: 7662 kg/m³
- Density of states at the Fermi level: 18.341 states/eV/f.u.
- Spin magnetization: 1.5 μB per formula unit
- Energy of formation from the pure elements: -1.07 eV/f.u.

a b c (Å): 9.0465 9.0465 19.1733
angles (deg): 90.00 90.00 120.00
Space group R-3 (No. 148, hexagonal axes)
One atom of each set of equivalent atoms:
Tb 0.0000 0.0000 0.1674
Tb 0.0016 0.6650 0.2833
Nd 0.0000 0.0000 0.5000
Cd 0.0001 0.3387 0.5518

---

VASP calculation (PBE-GGA) on an optimized crystal structure of Sc3TcAu.

Results
- E above lowest polymorph: 565 meV per atom
- ρ: 5486 kg/m³
- Density of states at the Fermi level: 5.824 states/eV/f.u.
- Spin magnetization: 1.6 μB per formula unit
- Energy of formation from the pure elements: 3.18 eV/f.u.

a b c (Å): 5.067 5.067 5.067
angles (deg): 90.00 90.00 90.00
Space group Pm-3m (No. 221)
One atom of each set of equivalent atoms:
Sc 0.000 0.000 0.500
Tc 0.500 0.500 0.500
Au 0.000 0.000 0.000

---

VASP calculation (PBE-GGA) on an optimized crystal structure of ErReSi2.

Results
- ρ: 9546 kg/m³
- ΔE_f (raw): 0.590 eV/atom
- Density of states at the Fermi level: 4.216 states/eV/f.u.
- Spin magnetization: 0.0 μB per formula unit

a b c (Å): 2.8822 2.8822 29.7154
angles (deg): 90.00 90.00 120.00
Space group R-3m (No. 166, hexagonal axes)
One atom of each set of equivalent atoms:
Er 0.0000 0.0000 0.0000
Re 0.0000 0.0000 0.5000
Si 0.0000 0.0000 0.4161

---

VASP calculation (PBE-GGA) on an optimized crystal structure of KIn2Te.

Results
- ρ: 5147 kg/m³
- ΔE_f (raw): -0.241 eV/atom
- Density of states at the Fermi level: 1.160 states/eV/f.u.
- Spin magnetization: 0.0 μB per formula unit

a b c (Å): 6.805 12.763 3.387
angles (deg): 90.00 119.63 90.00
Space group C2/m (No. 12)
One atom of each set of equivalent atoms:
K 0.000 0.000 0.000
In 0.250 0.250 0.000
Te 0.000 0.500 0.000

---

VASP calculation (PBE-GGA) on an optimized crystal structure of Tm2Si5Ru3.

Results
- ρ: 8035 kg/m³
- ΔE_f (raw): -0.843 eV/atom
- Density of states at the Fermi level: 2.836 states/eV/f.u.
- Spin magnetization: 0.0 μB per formula unit

a b c (Å): 9.571 12.133 5.563
angles (deg): 90.00 90.00 90.00
Space group Ibam (No. 72)
One atom of each set of equivalent atoms:
Tm 0.232 0.137 0.000
Si 0.000 0.000 0.250
Si 0.000 0.293 0.250
Si 0.171 0.405 0.000
Ru 0.000 0.500 0.250
Ru 0.092 0.147 0.500

---

VASP calculation (PBE-GGA) on an optimized crystal structure of Ba6GaAu2.

Results
- ρ: 5521 kg/m³
- Density of states at the Fermi level: 8.269 states/eV/f.u.
- Spin magnetization: 0.0 μB per formula unit
- Energy of formation from the pure elements: -3.77 eV/f.u.

a b c (Å): 5.841 15.180 17.472
angles (deg): 90.00 90.00 90.00
Space group Fmmm (No. 69)
One atom of each set of equivalent atoms:
Ba 0.000 0.124 0.168
Ba 0.000 0.127 0.500
Ga 0.000 0.000 0.000
Au 0.000 0.000 0.337

---

VASP calculation (PBE-GGA) on an optimized crystal structure of Tl2PAu.

Results
- E above lowest polymorph: 352 meV per atom
- ρ: 11108 kg/m³
- Density of states at the Fermi level: 1.666 states/eV/f.u.
- Spin magnetization: 0.0 μB per formula unit
- Energy of formation from the pure elements: 1.27 eV/f.u.

a b c (Å): 7.948 7.848 3.148
angles (deg): 90.00 104.16 90.00
Space group C2/m (No. 12)
One atom of each set of equivalent atoms:
Tl 0.250 0.250 0.000
P 0.000 0.000 0.500
Au 0.000 0.500 0.500

---

The highest density of states at the Fermi level belongs to which entry? SbRuCl3

---

What is the ρ in the twelfth record? 11108 kg/m³

---

Among the records above, which one has the lowest density of states at the Fermi level? KIn2Te